# 1
Material: SrPt2Pb2
Method: DFT, PBE
State: optimized geometry

```
data_SrPt2Pb2
_chemical_formula_sum 'Sr2 Pt4 Pb4'
_symmetry_space_group_name_H-M 'P 4/m b m'
_symmetry_Int_Tables_number 127
_symmetry_space_group_name_Hall '-P 4 2ab'
_cell_length_a 7.925
_cell_length_b 7.925
_cell_length_c 3.929
_cell_angle_alpha 90.00
_cell_angle_beta 90.00
_cell_angle_gamma 90.00
loop_
_atom_site_label
_atom_site_type_symbol
_atom_site_fract_x
_atom_site_fract_y
_atom_site_fract_z
_atom_site_occupancy
Sr1 Sr 0.000 0.000 0.000 1
Pt1 Pt 0.130 0.370 0.000 1
Pb1 Pb 0.159 0.659 0.500 1
```

Computed properties:
Energy relative to the elements, eV/atom: -0.330
Crystal system: tetragonal
Fermi-level density of states, states/eV/cell: 4.40
Electronic total energy, eV for the cell shown: -45.66

---

# 2
Material: Sr5Pt2Pb
Method: DFT, PBE
State: optimized geometry

```
data_Sr5Pt2Pb
_chemical_formula_sum 'Sr20 Pt8 Pb4'
_symmetry_space_group_name_H-M 'I 4/m c m'
_symmetry_Int_Tables_number 140
_symmetry_space_group_name_Hall '-I 4 2c'
_cell_length_a 8.327
_cell_length_b 8.327
_cell_length_c 15.475
_cell_angle_alpha 90.00
_cell_angle_beta 90.00
_cell_angle_gamma 90.00
loop_
_atom_site_label
_atom_site_type_symbol
_atom_site_fract_x
_atom_site_fract_y
_atom_site_fract_z
_atom_site_occupancy
Sr1 Sr 0.000 0.000 0.000 1
Sr2 Sr 0.170 0.330 0.133 1
Pt1 Pt 0.122 0.378 0.500 1
Pb1 Pb 0.000 0.000 0.250 1
```

Computed properties:
Energy relative to the elements, eV/atom: -0.701
Crystal system: tetragonal
Fermi-level density of states, states/eV/cell: 13.51
Electronic total energy, eV for the cell shown: -119.22

---

# 3
Material: Sr4PtPb
Method: DFT, PBE
State: optimized geometry

```
data_Sr4PtPb
_chemical_formula_sum 'Sr16 Pt4 Pb4'
_symmetry_space_group_name_H-M 'F -4 3 m'
_symmetry_Int_Tables_number 216
_symmetry_space_group_name_Hall 'F -4 2 3'
_cell_length_a 9.468
_cell_length_b 9.468
_cell_length_c 9.468
_cell_angle_alpha 90.00
_cell_angle_beta 90.00
_cell_angle_gamma 90.00
loop_
_atom_site_label
_atom_site_type_symbol
_atom_site_fract_x
_atom_site_fract_y
_atom_site_fract_z
_atom_site_occupancy
Sr1 Sr 0.125 0.125 0.125 1
Pt1 Pt 0.000 0.000 0.500 1
Pb1 Pb 0.250 0.250 0.750 1
```

Computed properties:
Energy relative to the elements, eV/atom: 0.406
Crystal system: cubic
Fermi-level density of states, states/eV/cell: 19.16
Electronic total energy, eV for the cell shown: -56.17

---

# 4
Material: Sr3PtPb
Method: DFT, PBE
State: optimized geometry

```
data_Sr3PtPb
_chemical_formula_sum 'Sr3 Pt1 Pb1'
_symmetry_space_group_name_H-M 'P m -3 m'
_symmetry_Int_Tables_number 221
_symmetry_space_group_name_Hall '-P 4 2 3'
_cell_length_a 5.813
_cell_length_b 5.813
_cell_length_c 5.813
_cell_angle_alpha 90.00
_cell_angle_beta 90.00
_cell_angle_gamma 90.00
loop_
_atom_site_label
_atom_site_type_symbol
_atom_site_fract_x
_atom_site_fract_y
_atom_site_fract_z
_atom_site_occupancy
Sr1 Sr 0.000 0.000 0.500 1
Pt1 Pt 0.000 0.000 0.000 1
Pb1 Pb 0.500 0.500 0.500 1
```

Computed properties:
Energy relative to the elements, eV/atom: -0.530
Crystal system: cubic
E above lowest polymorph, meV/atom: 0
Fermi-level density of states, states/eV/cell: 4.47
Electronic total energy, eV for the cell shown: -17.44

---

# 5
Material: Sr2Pt2Pb3
Method: DFT, PBE
State: optimized geometry

```
data_Sr2Pt2Pb3
_chemical_formula_sum 'Sr4 Pt4 Pb6'
_symmetry_space_group_name_H-M 'C 1 2/m 1'
_symmetry_Int_Tables_number 12
_symmetry_space_group_name_Hall '-C 2y'
_cell_length_a 11.194
_cell_length_b 4.537
_cell_length_c 8.232
_cell_angle_alpha 90.00
_cell_angle_beta 112.29
_cell_angle_gamma 90.00
loop_
_atom_site_label
_atom_site_type_symbol
_atom_site_fract_x
_atom_site_fract_y
_atom_site_fract_z
_atom_site_occupancy
Sr1 Sr 0.147 0.000 0.300 1
Pt1 Pt 0.150 0.000 0.726 1
Pb1 Pb 0.000 0.500 0.500 1
Pb2 Pb 0.130 0.500 0.942 1
```

Computed properties:
Energy relative to the elements, eV/atom: -0.522
Crystal system: monoclinic
Fermi-level density of states, states/eV/cell: 7.87
Electronic total energy, eV for the cell shown: -60.44

---

# 6
Material: SrPt2Pb2
Method: DFT, PBE
State: optimized geometry

```
data_SrPt2Pb2
_chemical_formula_sum 'Sr2 Pt4 Pb4'
_symmetry_space_group_name_H-M 'P 4/m b m'
_symmetry_Int_Tables_number 127
_symmetry_space_group_name_Hall '-P 4 2ab'
_cell_length_a 8.453
_cell_length_b 8.453
_cell_length_c 3.391
_cell_angle_alpha 90.00
_cell_angle_beta 90.00
_cell_angle_gamma 90.00
loop_
_atom_site_label
_atom_site_type_symbol
_atom_site_fract_x
_atom_site_fract_y
_atom_site_fract_z
_atom_site_occupancy
Sr1 Sr 0.000 0.000 0.000 1
Pt1 Pt 0.164 0.336 0.500 1
Pb1 Pb 0.134 0.634 0.000 1
```

Computed properties:
Energy relative to the elements, eV/atom: -0.245
Crystal system: tetragonal
Fermi-level density of states, states/eV/cell: 4.38
Electronic total energy, eV for the cell shown: -44.81

---

# 7
Material: SrPtPb2
Method: DFT, PBE
State: optimized geometry

```
data_SrPtPb2
_chemical_formula_sum 'Sr2 Pt2 Pb4'
_symmetry_space_group_name_H-M 'I m m 2'
_symmetry_Int_Tables_number 44
_symmetry_space_group_name_Hall 'I 2 -2'
_cell_length_a 4.185
_cell_length_b 5.106
_cell_length_c 10.507
_cell_angle_alpha 90.00
_cell_angle_beta 90.00
_cell_angle_gamma 90.00
loop_
_atom_site_label
_atom_site_type_symbol
_atom_site_fract_x
_atom_site_fract_y
_atom_site_fract_z
_atom_site_occupancy
Sr1 Sr 0.000 0.000 0.000 1
Pt1 Pt 0.000 0.500 0.737 1
Pb1 Pb 0.000 0.000 0.416 1
Pb2 Pb 0.000 0.500 0.216 1
```

Computed properties:
Energy relative to the elements, eV/atom: -0.306
Crystal system: orthorhombic
Fermi-level density of states, states/eV/cell: 4.43
Electronic total energy, eV for the cell shown: -32.72

---

# 8
Material: SrPt3Pb
Method: DFT, PBE
State: optimized geometry

```
data_SrPt3Pb
_chemical_formula_sum 'Sr1 Pt3 Pb1'
_symmetry_space_group_name_H-M 'P m -3 m'
_symmetry_Int_Tables_number 221
_symmetry_space_group_name_Hall '-P 4 2 3'
_cell_length_a 5.143
_cell_length_b 5.143
_cell_length_c 5.143
_cell_angle_alpha 90.00
_cell_angle_beta 90.00
_cell_angle_gamma 90.00
loop_
_atom_site_label
_atom_site_type_symbol
_atom_site_fract_x
_atom_site_fract_y
_atom_site_fract_z
_atom_site_occupancy
Sr1 Sr 0.000 0.000 0.000 1
Pt1 Pt 0.000 0.500 0.500 1
Pb1 Pb 0.500 0.500 0.500 1
```

Computed properties:
Energy relative to the elements, eV/atom: 0.188
Crystal system: cubic
E above lowest polymorph, meV/atom: 0
Fermi-level density of states, states/eV/cell: 2.77
Electronic total energy, eV for the cell shown: -22.57